Crystalline Mg2Br2O at its relaxed geometry. Source: Alexandria, functional PBE-GGA.

Cell: 4.799 4.799 11.159 Å, 90.00 90.00 90.00°
Space group I4/mmm (No. 139)
Inequivalent atoms, fractional coordinates:
Mg (0.000, 0.000, 0.130) x4
Br (0.000, 0.500, 0.250) x4
O (0.000, 0.000, 0.500) x2

Summary:
ΔE_f (raw)	-1.59	eV per formula unit



Crystalline Pr2Ho3PuSe6 at its relaxed geometry. Source: Alexandria, functional PBE-GGA.

Cell: 18.136 4.095 8.377 Å, 90.00 104.49 90.00°
Space group C2/m (No. 12)
Inequivalent atoms, fractional coordinates:
Pr (0.166, 0.000, 0.333) x4
Ho (0.000, 0.500, 0.500) x2
Ho (0.168, 0.000, 0.836) x4
Pu (0.000, 0.500, 0.000) x2
Se (0.004, 0.000, 0.747) x4
Se (0.162, 0.500, 0.595) x4
Se (0.168, 0.500, 0.073) x4

Summary:
ΔE_f (raw)	-21.02	eV per formula unit



Crystalline Pr2NiRu at its relaxed geometry. Source: Alexandria, functional PBE-GGA.

Cell: 5.879 4.105 8.202 Å, 90.00 110.36 90.00°
Space group P2_1/m (No. 11)
Inequivalent atoms, fractional coordinates:
Pr (0.214, 0.250, 0.424) x2
Pr (0.215, 0.250, 0.933) x2
Ni (0.362, 0.750, 0.714) x2
Ru (0.369, 0.750, 0.220) x2

Summary:
VASP energy	-51.01	eV per cell



Crystalline NaPPd3 at its relaxed geometry. Source: Alexandria, functional PBE-GGA.

Cell: 5.7833 5.7833 3.0411 Å, 90.00 90.00 120.00°
Space group P-6m2 (No. 187)
Inequivalent atoms, fractional coordinates:
Na (0.0000, 0.0000, 0.0000) x1
P (0.3333, 0.6667, 0.0000) x1
Pd (0.5085, 0.0170, 0.5000) x3

Summary:
VASP energy	-24.21	eV per cell